Record 1
Here is HS2Br2 after structural relaxation from Alexandria via LeMat-Bulk. Energies are from PBE.

Unit cell a=4.9553 b=7.2555 c=8.7744 alpha=85.48 beta=83.98 gamma=87.68
Last column: nearest neighbours and their distance in Å.
Space group P-1 (No. 2)
Asymmetric unit:
H  0.0991  0.9996  0.3318 x2  1 S 1.39
S  0.0751  0.7027  0.1847 x2  1 S 1.99
S  0.2915  0.8599  0.2988 x2  1 H 1.39
Br  0.2530  0.7792  0.6148 x2  1 H 2.36
Br  0.2603  0.7203  0.9246 x2  1 S 2.36



Record 2
Here is HS2Br after structural relaxation from Alexandria via LeMat-Bulk. Energies are from PBE.

Unit cell a=6.4184 b=6.4184 c=6.4184 alpha=90.00 beta=90.00 gamma=90.00
Last column: nearest neighbours and their distance in Å.
Space group Fm-3m (No. 225)
Asymmetric unit:
H  0.0000  0.0000  0.0000 x4  8 S 2.78
S  0.2500  0.2500  0.2500 x8  4 H 2.78, 4 Br 2.78
Br  0.0000  0.0000  0.5000 x4  8 S 2.78

Computed properties:
Energy relative to the lowest polymorph listed for this composition: 1.423 eV/atom



Record 3
Here is H4SBr2 after structural relaxation from Alexandria via LeMat-Bulk. Energies are from PBE.

Unit cell a=16.6121 b=5.7604 c=8.4362 alpha=90.00 beta=90.00 gamma=90.00
Last column: nearest neighbours and their distance in Å.
Space group Cmcm (No. 63)
Asymmetric unit:
H  0.0000  0.1393  0.1354 x8  1 S 1.35
H  0.2311  0.3440  0.7500 x8  1 Br 1.47
S  0.0000  0.3025  0.2500 x4  2 H 1.35
Br  0.1756  0.1455  0.7500 x8  1 H 1.47

Computed properties:
Energy relative to the lowest polymorph listed for this composition: 0.021 eV/atom



Record 4
Here is H6S2Br after structural relaxation from Alexandria via LeMat-Bulk. Energies are from PBE.

Unit cell a=11.1192 b=12.3793 c=7.5045 alpha=90.00 beta=90.00 gamma=90.00
Last column: nearest neighbours and their distance in Å.
Space group Fdd2 (No. 43)
Asymmetric unit:
H  0.0096  0.3824  0.0000 x16  1 S 1.42
H  0.0771  0.2410  0.6287 x16  1 S 1.44
H  0.1102  0.2632  0.1235 x16  1 S 1.43
S  0.0153  0.2681  0.9959 x16  3 H 1.42-1.44
Br  0.0000  0.0000  0.0571 x8  2 H 2.08



Record 5
Here is HS2Br after structural relaxation from Alexandria via LeMat-Bulk. Energies are from PBE.

Unit cell a=5.8203 b=14.0639 c=5.2558 alpha=90.00 beta=90.00 gamma=90.00
Last column: nearest neighbours and their distance in Å.
Space group C222_1 (No. 20)
Asymmetric unit:
H  0.0911  0.0000  0.0000 x4  2 S 1.66
S  0.0959  0.1138  0.9134 x8  1 H 1.66
Br  0.0000  0.3866  0.2500 x4  2 S 2.50

Computed properties:
Energy relative to the lowest polymorph listed for this composition: 0.000 eV/atom



Record 6
Here is H4SBr3 after structural relaxation from Alexandria via LeMat-Bulk. Energies are from PBE.

Unit cell a=6.1263 b=7.5643 c=7.2035 alpha=90.00 beta=90.00 gamma=90.00
Last column: nearest neighbours and their distance in Å.
Space group Pmn2_1 (No. 31)
Asymmetric unit:
H  0.0000  0.1105  0.0000 x2  1 S 1.37
H  0.0000  0.3080  0.8227 x2  1 S 1.38
H  0.2071  0.7377  0.5366 x4  1 Br 1.59
S  0.0000  0.2906  0.0136 x2  2 H 1.37-1.38
Br  0.0000  0.8652  0.5394 x2  2 H 1.59
Br  0.2495  0.7186  0.0248 x4  1 H 2.65



Record 7
Here is H3SBr2 after structural relaxation from Alexandria via LeMat-Bulk. Energies are from PBE.

Unit cell a=10.9502 b=6.9464 c=7.1789 alpha=90.00 beta=90.00 gamma=90.00
Last column: nearest neighbours and their distance in Å.
Space group Cmc2_1 (No. 36)
Asymmetric unit:
H  0.0000  0.2447  0.0000 x4  1 S 1.38
H  0.0874  0.3960  0.8034 x8  1 S 1.41
S  0.0000  0.2473  0.8084 x4  3 H 1.38-1.41
Br  0.1317  0.2911  0.3097 x8  1 H 2.23



Record 8
Here is H3SBr3 after structural relaxation from Alexandria via LeMat-Bulk. Energies are from PBE.

Unit cell a=6.7012 b=7.5955 c=8.4945 alpha=90.00 beta=109.48 gamma=90.00
Last column: nearest neighbours and their distance in Å.
Space group P2_1/m (No. 11)
Asymmetric unit:
H  0.0397  0.2500  0.3031 x2  1 S 1.35
H  0.0792  0.7500  0.5164 x2  1 S 1.35
H  0.4247  0.2500  0.8047 x2  1 Br 1.50
S  0.1559  0.7500  0.6850 x2  2 H 1.35
Br  0.0608  0.7500  0.1494 x2  1 Br 2.40
Br  0.3093  0.2500  0.0128 x2  1 H 2.15, 1 Br 2.40
Br  0.4993  0.7500  0.3423 x2  1 H 1.50



Record 9
Here is H3SBr after structural relaxation from Alexandria via LeMat-Bulk. Energies are from PBE.

Unit cell a=5.3220 b=5.3220 c=11.5153 alpha=90.00 beta=90.00 gamma=120.00
Last column: nearest neighbours and their distance in Å.
Space group R3m (No. 160, hexagonal axes)
Asymmetric unit:
H  0.0744  0.5372  0.0000 x9  1 S 1.41
S  0.0000  0.0000  0.2675 x3  3 H 1.41
Br  0.0000  0.0000  0.7639 x3  3 H 2.19

Computed properties:
Energy relative to the lowest polymorph listed for this composition: 0.000 eV/atom



Record 10
Here is H3SBr after structural relaxation from Alexandria via LeMat-Bulk. Energies are from PBE.

Unit cell a=4.2961 b=5.5585 c=10.4460 alpha=90.00 beta=88.73 gamma=89.83
Last column: nearest neighbours and their distance in Å.
Space group P1 (No. 1)
Asymmetric unit:
H  0.0000  0.0000  0.0000 x1  1 S 1.36
H  0.0162  0.4967  0.4361 x1  1 Br 1.47
H  0.0794  0.9966  0.4809 x1  1 Br 1.47
H  0.0974  0.4999  0.9167 x1  1 S 1.36
H  0.1885  0.8116  0.1362 x1  1 S 1.35
H  0.9084  0.3120  0.7807 x1  1 S 1.35
S  0.1865  0.3144  0.8384 x1  2 H 1.35-1.36
S  0.9105  0.8151  0.0784 x1  2 H 1.35-1.36
Br  0.1790  0.8083  0.5697 x1  1 H 1.47
Br  0.9166  0.3088  0.3474 x1  1 H 1.47

Computed properties:
Energy relative to the lowest polymorph listed for this composition: 0.039 eV/atom



Record 11
Here is HS2Br after structural relaxation from Alexandria via LeMat-Bulk. Energies are from PBE.

Unit cell a=3.4879 b=3.4879 c=20.1966 alpha=90.00 beta=90.00 gamma=120.00
Last column: nearest neighbours and their distance in Å.
Space group R-3m (No. 166, hexagonal axes)
Asymmetric unit:
H  0.0000  0.0000  0.0000 x3  6 S 2.22
S  0.0000  0.0000  0.3798 x6  3 H 2.22, 1 Br 2.43
Br  0.0000  0.0000  0.5000 x3  2 S 2.43

Computed properties:
Energy relative to the lowest polymorph listed for this composition: 0.825 eV/atom



Record 12
Here is H4SBr2 after structural relaxation from Alexandria via LeMat-Bulk. Energies are from PBE.

Unit cell a=8.9336 b=7.6638 c=5.9139 alpha=90.00 beta=126.24 gamma=90.00
Last column: nearest neighbours and their distance in Å.
Space group Cm (No. 8)
Asymmetric unit:
H  0.0000  0.0000  0.0000 x2  2 Br 1.71
H  0.1701  0.5000  0.6388 x2  1 S 1.36
H  0.4870  0.1311  0.2803 x4  1 S 1.42
S  0.4819  0.0000  0.4450 x2  3 H 1.36-1.42
Br  0.4919  0.2775  0.9721 x4  1 H 1.71

Computed properties:
Energy relative to the lowest polymorph listed for this composition: 0.000 eV/atom



no.,total DFT energy (no corrections) (eV per atom)
1,-2.960
2,-1.831
3,-3.182
4,-3.241
5,-3.254
6,-2.832
7,-2.991
8,-2.863
9,-3.413
10,-3.373
11,-2.428
12,-3.203